[1]
The following is a PBE calculation of an optimized crystal structure of Ce3Tl3SnS8, from the Alexandria database.

Crystal system: trigonal
Total magnetic moment, μB per formula unit: 1.1
Final energy, eV per atom: -5.357
Formation energy from raw total energies, eV/atom: -1.229

abc: 8.3193 8.3190 8.7859
angles: 118.26 90.00 120.00
Closest atoms and distances in Å follow each position.
Element x y z (fractional)
S 0.2362 0.4726 0.6938  2 Ce 2.76, 1 Sn 2.86
S 0.2659 0.5318 0.2978  3 Ce 2.82-2.83
S 0.7212 0.9575 0.6938  2 Ce 2.76, 1 Sn 2.86
S 0.2788 0.0425 0.3062  2 Ce 2.76, 1 Sn 2.86
S 0.2362 0.9574 0.6938  2 Ce 2.76, 1 Sn 2.86
S 0.7638 0.0426 0.3062  2 Ce 2.76, 1 Sn 2.86
S 0.7341 0.4682 0.7022  3 Ce 2.82-2.83
S 0.7638 0.5274 0.3062  2 Ce 2.76, 1 Sn 2.86
Sn 0.0000 0.0000 0.5000  6 S 2.86
Tl 0.0000 0.0000 0.0000  6 S 3.25-3.32
Tl 0.5000 0.5000 0.0000  6 S 3.25-3.32
Tl 0.0000 0.5000 0.0000  6 S 3.25-3.32
Ce 0.0000 0.5000 0.5000  6 S 2.76-2.82
Ce 0.5000 0.0000 0.5000  6 S 2.76-2.83
Ce 0.5000 0.5000 0.5000  6 S 2.76-2.83

=====

[2]
The following is a PBE calculation of an optimized crystal structure of Ni2HPdPb, from the Alexandria database.

Crystal system: tetragonal
Total magnetic moment, μB per formula unit: 0.0
Final energy, eV per atom: -4.755

abc: 4.0051 4.0051 3.8983
angles: 90.00 90.00 90.00
Closest atoms and distances in Å follow each position.
Element x y z (fractional)
Ni 0.0000 0.5000 0.0000  2 H 2.00
Ni 0.5000 0.0000 0.0000  2 H 2.00
Pb 0.5000 0.5000 0.5000  8 Ni 2.79, 4 Pd 2.83
H 0.0000 0.0000 0.0000  2 Pd 1.95, 4 Ni 2.00
Pd 0.0000 0.0000 0.5000  2 H 1.95

=====

[3]
The following is a PBE calculation of an optimized crystal structure of Ca4Cd3Pb2, from the Alexandria database.

Crystal system: trigonal
Energy relative to the elements, eV/atom: -0.409
Total magnetic moment, μB per formula unit: 0.0
Final energy, eV per atom: -2.428

abc: 5.2474 5.2471 11.0853
angles: 89.98 90.00 60.00
Closest atoms and distances in Å follow each position.
Element x y z (fractional)
Ca 0.9998 0.0004 0.6696  3 Pb 3.36, 7 Cd 3.52-3.66, 1 Ca 3.76
Ca 0.0002 0.9996 0.3304  3 Pb 3.36, 7 Cd 3.52-3.66, 1 Ca 3.76
Ca 0.3335 0.3331 0.1093  4 Pb 3.19-3.42, 3 Cd 3.26
Ca 0.6665 0.6669 0.8907  4 Pb 3.19-3.42, 3 Cd 3.26
Pb 0.6668 0.6663 0.1994  7 Ca 3.19-3.42, 1 Cd 3.24
Pb 0.3332 0.3337 0.8006  7 Ca 3.19-3.42, 1 Cd 3.24
Cd 0.3334 0.3333 0.5084  3 Cd 3.03-3.04, 1 Pb 3.24
Cd 0.6666 0.6667 0.4916  3 Cd 3.03-3.04, 1 Pb 3.24
Cd 0.0000 0.0000 0.0000  6 Ca 3.26

=====

[4]
The following is a PBE calculation of an optimized crystal structure of Hg2NCl, from the Alexandria database.

Crystal system: triclinic
Total magnetic moment, μB per formula unit: 0.0
Final energy, eV per atom: -2.107
Formation energy from raw total energies, eV/atom: 0.587

abc: 5.3564 15.3586 17.6599
angles: 25.88 158.83 142.63
Closest atoms and distances in Å follow each position.
Element x y z (fractional)
Hg 0.7369 0.1327 0.0084  1 N 2.18
Hg 0.3533 0.3060 0.4023  2 N 2.37-2.43
Hg 0.6467 0.6940 0.5977  2 N 2.37-2.43
Hg 0.2631 0.8673 0.9916  1 N 2.18
N 0.0743 0.3330 0.0278  1 Cl 1.79
N 0.9257 0.6670 0.9722  1 Cl 1.79
Cl 0.8254 0.2656 0.1020  1 N 1.79
Cl 0.1746 0.7344 0.8980  1 N 1.79

=====

[5]
The following is a PBE calculation of an optimized crystal structure of TcSbPb2, from the Alexandria database.

Crystal system: orthorhombic
Total magnetic moment, μB per formula unit: 0.0
Final energy, eV per atom: -5.188
Formation energy from raw total energies, eV/atom: 0.288

abc: 7.6987 7.6987 7.6987
angles: 155.15 147.14 41.63
Closest atoms and distances in Å follow each position.
Element x y z (fractional)
Pb 0.0752 0.0752 0.0000  2 Tc 3.01, 2 Pb 3.31, 2 Sb 3.33
Pb 0.4248 0.4248 0.0000  2 Tc 3.01, 2 Pb 3.31, 2 Sb 3.33
Sb 0.7500 0.2500 0.5000  4 Tc 2.74
Tc 0.2500 0.7500 0.5000  4 Sb 2.74, 4 Pb 3.01

=====

[6]
The following is a PBE calculation of an optimized crystal structure of BaIn6Rh, from the Alexandria database.

Crystal system: tetragonal
Energy relative to the elements, eV/atom: -0.321
Total magnetic moment, μB per formula unit: 0.0
Final energy, eV per atom: -3.534

abc: 4.7705 4.7705 9.4338
angles: 90.00 90.00 90.00
Closest atoms and distances in Å follow each position.
Element x y z (fractional)
In 0.0000 0.5000 0.6587  2 Rh 2.82, 3 In 2.99
In 0.0000 0.5000 0.3413  2 Rh 2.82, 3 In 2.99
In 0.5000 0.0000 0.6587  2 Rh 2.82, 3 In 2.99
In 0.5000 0.0000 0.3413  2 Rh 2.82, 3 In 2.99
In 0.5000 0.5000 0.1495  5 In 2.82-2.99
In 0.5000 0.5000 0.8505  5 In 2.82-2.99
Rh 0.0000 0.0000 0.5000  8 In 2.82
Ba 0.0000 0.0000 0.0000  16 In 3.66-4.01

=====

[7]
The following is a PBE calculation of an optimized crystal structure of Nd3TeSN, from the Alexandria database.

Crystal system: monoclinic
Total magnetic moment, μB per formula unit: 0.0
Final energy, eV per atom: -6.515
Formation energy from raw total energies, eV/atom: -1.532

abc: 4.1078 8.8124 9.4586
angles: 100.78 90.00 90.00
Closest atoms and distances in Å follow each position.
Element x y z (fractional)
Te 0.7500 0.8214 0.7871  7 Nd 3.20-3.52
Te 0.2500 0.1786 0.2129  7 Nd 3.20-3.52
N 0.7500 0.9101 0.3984  4 Nd 2.26-2.36
N 0.2500 0.0899 0.6016  4 Nd 2.26-2.36
Nd 0.7500 0.4319 0.1404  3 S 2.83-2.85
Nd 0.7500 0.1659 0.5126  3 N 2.31-2.36
Nd 0.2500 0.5681 0.8596  3 S 2.83-2.85
Nd 0.2500 0.1200 0.8440  1 N 2.26
Nd 0.2500 0.8341 0.4874  3 N 2.31-2.36
Nd 0.7500 0.8800 0.1560  1 N 2.26
S 0.7500 0.3430 0.8350  6 Nd 2.83-3.15
S 0.2500 0.6570 0.1650  6 Nd 2.83-3.15

=====

[8]
The following is a PBE calculation of an optimized crystal structure of In2NiRu, from the Alexandria database.

Crystal system: tetragonal
Energy relative to the elements, eV/atom: -0.035
Total magnetic moment, μB per formula unit: 0.0
Final energy, eV per atom: -5.169

abc: 4.4818 3.2656 4.4812
angles: 90.00 90.00 90.00
Closest atoms and distances in Å follow each position.
Element x y z (fractional)
In 0.0000 0.1251 0.8750  4 Ni 2.77, 4 Ru 2.77
In 0.5000 0.1250 0.3751  4 Ru 2.77, 4 Ni 2.77
Ru 0.5000 0.6250 0.8750  8 In 2.77
Ni 0.0000 0.6249 0.3749  8 In 2.77

=====

[9]
The following is a PBE calculation of an optimized crystal structure of Li5BN2Cl, from the Alexandria database.

Crystal system: tetragonal
Total magnetic moment, μB per formula unit: 0.7
Final energy, eV per atom: -4.732
Formation energy from raw total energies, eV/atom: -0.871

abc: 4.1381 4.1381 6.7313
angles: 90.00 90.00 90.00
Closest atoms and distances in Å follow each position.
Element x y z (fractional)
N 0.0000 0.0000 0.2024  1 B 1.36
N 0.0000 0.0000 0.7976  1 B 1.36
Li 0.0000 0.5000 0.7856  2 N 2.07
Li 0.5000 0.0000 0.2144  2 N 2.07
Li 0.5000 0.0000 0.7856  2 N 2.07
Li 0.0000 0.0000 0.5000  2 N 2.00
Li 0.0000 0.5000 0.2144  2 N 2.07
Cl 0.5000 0.5000 0.5000  12 Li 2.82-2.93
B 0.0000 0.0000 0.0000  2 N 1.36

=====

[10]
The following is a PBE calculation of an optimized crystal structure of Sc4Sn2N, from the Alexandria database.

E above lowest polymorph, meV per atom: 0.0
Crystal system: tetragonal
Total magnetic moment, μB per formula unit: 0.0
Final energy, eV per atom: -6.983
Formation energy from raw total energies, eV/atom: -1.032

abc: 4.3941 4.3941 8.1131
angles: 74.29 74.29 90.00
Closest atoms and distances in Å follow each position.
Element x y z (fractional)
Sn 0.6453 0.6453 0.7093  9 Sc 3.02-3.11
Sn 0.3547 0.3547 0.2907  9 Sc 3.02-3.11
Sc 0.0000 0.5000 0.0000  2 N 2.20
Sc 0.1530 0.1530 0.6941  1 N 2.29
Sc 0.8470 0.8470 0.3059  1 N 2.29
Sc 0.5000 0.0000 0.0000  2 N 2.20
N 0.0000 0.0000 0.0000  6 Sc 2.20-2.29

=====

[11]
The following is a PBE calculation of an optimized crystal structure of CePaTe3, from the Alexandria database.

E above lowest polymorph, meV per atom: 189.6
Crystal system: orthorhombic
Total magnetic moment, μB per formula unit: 2.4
Final energy, eV per atom: -5.763
Formation energy from raw total energies, eV/atom: -0.792

abc: 6.1109 8.4067 8.4067
angles: 123.12 90.00 90.00
Closest atoms and distances in Å follow each position.
Element x y z (fractional)
Te 0.7500 0.1943 0.3812  2 Pa 3.09, 1 Ce 3.23, 1 Te 3.40
Te 0.2500 0.8057 0.6188  2 Pa 3.09, 1 Ce 3.23, 1 Te 3.40
Te 0.7500 0.6188 0.8057  2 Pa 3.09, 1 Ce 3.23, 1 Te 3.40
Te 0.7500 0.1784 0.8216  2 Pa 3.05
Te 0.2500 0.8216 0.1784  2 Pa 3.05
Te 0.2500 0.3812 0.1943  2 Pa 3.09, 1 Ce 3.23, 1 Te 3.40
Ce 0.7500 0.5920 0.4080  6 Te 3.23-3.50
Ce 0.2500 0.4080 0.5920  6 Te 3.23-3.50
Pa 0.0000 0.0000 0.0000  6 Te 3.05-3.09, 2 Pa 3.06
Pa 0.5000 0.0000 0.0000  6 Te 3.05-3.09, 2 Pa 3.06

=====

[12]
The following is a PBE calculation of an optimized crystal structure of TiNb2P2, from the Alexandria database.

E above lowest polymorph, meV per atom: 0.0
Crystal system: tetragonal
Energy relative to the elements, eV/atom: -0.870
Total magnetic moment, μB per formula unit: 0.0
Final energy, eV per atom: -8.641

abc: 6.6709 6.6709 3.4297
angles: 90.00 90.00 90.00
Closest atoms and distances in Å follow each position.
Element x y z (fractional)
Ti 0.5000 0.5000 0.0000  4 P 2.56
Ti 0.0000 0.0000 0.0000  4 P 2.56
Nb 0.1549 0.6549 0.5000  6 P 2.55-2.63
Nb 0.8451 0.3451 0.5000  6 P 2.55-2.63
Nb 0.3451 0.1549 0.5000  6 P 2.55-2.63
Nb 0.6549 0.8451 0.5000  6 P 2.55-2.63
P 0.3553 0.8553 0.0000  6 Nb 2.55-2.63, 2 Ti 2.56, 1 P 2.73
P 0.1447 0.3553 0.0000  6 Nb 2.55-2.63, 2 Ti 2.56, 1 P 2.73
P 0.8553 0.6447 0.0000  6 Nb 2.55-2.63, 2 Ti 2.56, 1 P 2.73
P 0.6447 0.1447 0.0000  6 Nb 2.55-2.63, 2 Ti 2.56, 1 P 2.73